CaVCdO4 | GGA+U | relaxed

```
data_CaVCdO4
_chemical_formula_sum 'Ca4 V4 Cd4 O16'
_cell_length_a 6.1377
_cell_length_b 7.1246
_cell_length_c 9.1747
_cell_angle_alpha 90.00
_cell_angle_beta 90.00
_cell_angle_gamma 90.00
_space_group_name_H-M_alt 'I m m a'
_space_group_IT_number 74
_space_group_name_Hall '-I 2b 2'
loop_
_atom_site_label
_atom_site_fract_x
_atom_site_fract_y
_atom_site_fract_z
_atom_site_occupancy
Ca1 0.0000 0.0000 0.0000 1
V1 0.0000 0.2500 0.3733 1
Cd1 0.2500 0.2500 0.7500 1
O1 0.0000 0.0502 0.2635 1
O2 0.2372 0.2500 0.4887 1
```

Output
DOS(E_F): 0.124 states/eV/atom
DFT total energy: -43.8 eV per formula unit
Calculated density: 4.43 g/cm³